[1]
Crystalline CaCuBi at its relaxed geometry, computed with PBE.

The calculated formation energy comes out at 2.23 eV per formula unit. The calculation puts the energy at -2.58 eV per atom. The value obtained for the mass density is 4.40 Mg/m³.

The structure belongs to space group P6_3/mmc (No. 194); the cell edges are 4.6191, 4.6191 and 12.7669 Å and the angles 90.00°, 90.00° and 120.00°. The asymmetric unit holds Ca at (0.0000, 0.0000, 0.2500), Cu at (0.3333, 0.6667, 0.2500) and Bi at (0.0000, 0.0000, 0.0000).

---

[2]
Crystalline NaHg3H2 at its relaxed geometry, computed with PBE.

The calculation puts the energy at -1.37 eV per atom. The value obtained for the mass density is 9.49 Mg/m³.

The structure belongs to space group Cmcm (No. 63); the cell edges are 9.411, 9.068 and 5.142 Å and the angles 90.00°, 90.00° and 90.00°. The asymmetric unit holds Na at (0.000, 0.157, 0.250), Hg at (0.000, 0.421, 0.750), Hg at (0.203, 0.158, 0.750) and H at (0.156, 0.000, 0.000).

---

[3]
Crystalline TaBeCu2 at its relaxed geometry, computed with PBE.

The calculated formation energy comes out at 0.88 eV per formula unit. The calculation puts the energy at -5.72 eV per atom. The value obtained for the mass density is 9.96 Mg/m³.

The structure belongs to space group R-3m (No. 166, hexagonal axes); the cell edges are 2.6969, 2.6969 and 25.1671 Å and the angles 90.00°, 90.00° and 120.00°. The asymmetric unit holds Ta at (0.0000, 0.0000, 0.0000), Be at (0.0000, 0.0000, 0.5000) and Cu at (0.0000, 0.0000, 0.2392).

---

[4]
Crystalline Tb2CeErTl4 at its relaxed geometry, computed with PBE.

The calculated formation energy comes out at -2.42 eV per formula unit. The calculation puts the energy at -3.96 eV per atom. The value obtained for the mass density is 10.68 Mg/m³.

The structure belongs to space group R-3m (No. 166, hexagonal axes); the cell edges are 5.3977, 5.3977 and 26.6638 Å and the angles 90.00°, 90.00° and 120.00°. The asymmetric unit holds Tb at (0.0000, 0.0000, 0.2489), Ce at (0.0000, 0.0000, 0.0000), Er at (0.0000, 0.0000, 0.5000), Tl at (0.0000, 0.0000, 0.1264) and Tl at (0.0000, 0.0000, 0.3767).

---

> Among the records above, which one has the lowest energy?

TaBeCu2

---

> Which of these has the lowest energy?

TaBeCu2